Record 1
Below is a relaxed structure of La2U2Te7, with properties calculated at the PBE level.

## Properties
space group: Imm2
total DFT energy (no corrections): -65.92 eV/cell
E_form (uncorrected): -1.05 eV per atom

Unit cell a=4.4130 b=9.7299 c=9.7299 alpha=60.73 beta=76.89 gamma=76.89
With the nearest neighbours (Å) after each atom.
Atoms (fractional coordinates):
U1 0.0000 0.7756 0.2244  8 Te 3.07-3.26
U2 0.5000 0.3268 0.6732  7 Te 3.11-3.22
Te1 0.1767 0.7110 0.9356  1 U 3.07, 3 La 3.15-3.21
Te2 0.5000 0.0105 0.9895  3 U 3.11-3.19
Te3 0.6051 0.4993 0.2905  3 U 3.22-3.26, 2 La 3.36, 1 Te 3.41
Te4 0.3949 0.7095 0.5007  3 U 3.22-3.26, 2 La 3.36, 1 Te 3.41
Te5 0.8673 0.4188 0.8466  2 U 3.11, 2 La 3.38
Te6 0.8233 0.0644 0.2890  1 U 3.07, 3 La 3.15-3.21
Te7 0.1327 0.1534 0.5812  2 U 3.11, 2 La 3.38
La1 0.7388 0.8535 0.6689  7 Te 3.15-3.38
La2 0.2612 0.3311 0.1465  7 Te 3.15-3.38

Record 2
Below is a relaxed structure of LiInPb, with properties calculated at the PBE level.

## Properties
space group: C2/m
total DFT energy (no corrections): -17.63 eV/cell
formation energy from the elements: -0.46 eV/f.u.

Unit cell a=14.8389 b=5.7555 c=5.7555 alpha=135.45 beta=146.19 gamma=33.81
With the nearest neighbours (Å) after each atom.
Atoms (fractional coordinates):
Li1 0.7435 0.7546 0.2454  5 In 3.11-3.37, 5 Pb 3.26-3.29, 1 Li 3.42
Li2 0.2565 0.2454 0.7546  5 In 3.11-3.37, 5 Pb 3.26-3.29, 1 Li 3.42
In1 0.5672 0.2729 0.7271  5 Li 3.11-3.37, 3 In 3.17-3.27, 3 Pb 3.24-3.36
In2 0.4328 0.7271 0.2729  5 Li 3.11-3.37, 3 In 3.17-3.27, 3 Pb 3.24-3.36
Pb1 0.9037 0.2641 0.7359  3 In 3.24-3.36, 5 Li 3.26-3.29, 3 Pb 3.31-3.39
Pb2 0.0963 0.7359 0.2641  3 In 3.24-3.36, 5 Li 3.26-3.29, 3 Pb 3.31-3.39

Record 3
Below is a relaxed structure of Nd6ZnTe3S2, with properties calculated at the PBE level.

## Properties
space group: C2/m
total DFT energy (no corrections): -64.85 eV/cell
E_form (uncorrected): -1.44 eV per atom

Unit cell a=7.3772 b=7.3772 c=7.6717 alpha=99.21 beta=99.21 gamma=119.80
With the nearest neighbours (Å) after each atom.
Atoms (fractional coordinates):
S1 0.6666 0.3334 0.0000  6 Nd 2.90-2.93
S2 0.3334 0.6666 0.0000  6 Nd 2.90-2.93
Nd1 0.7327 0.7327 0.2169  2 S 2.90, 1 Zn 2.96, 3 Te 3.17-3.21
Nd2 0.9268 0.5869 0.7785  2 S 2.92-2.93, 1 Zn 2.98, 3 Te 3.17-3.21
Nd3 0.2673 0.2673 0.7831  2 S 2.90, 1 Zn 2.96, 3 Te 3.17-3.21
Nd4 0.4131 0.0732 0.2215  2 S 2.92-2.93, 1 Zn 2.98, 3 Te 3.17-3.21
Nd5 0.0732 0.4131 0.2215  2 S 2.92-2.93, 1 Zn 2.98, 3 Te 3.17-3.21
Nd6 0.5869 0.9268 0.7785  2 S 2.92-2.93, 1 Zn 2.98, 3 Te 3.17-3.21
Zn1 0.0000 0.0000 0.0000  6 Nd 2.96-2.98
Te1 0.8358 0.1642 0.5000  6 Nd 3.17-3.21
Te2 0.5000 0.5000 0.5000  6 Nd 3.17-3.21
Te3 0.1642 0.8358 0.5000  6 Nd 3.17-3.21

Record 4
Below is a relaxed structure of BaSiW2, with properties calculated at the PBE level.

## Properties
space group: Pmmm
energy relative to the lowest polymorph listed for this composition: 1082.1 meV/atom
total DFT energy (no corrections): -27.26 eV/cell
E_form (uncorrected): 1.50 eV per atom

Unit cell a=3.3418 b=4.9945 c=4.7772 alpha=90.00 beta=90.00 gamma=90.00
With the nearest neighbours (Å) after each atom.
Atoms (fractional coordinates):
Si1 0.0000 0.5000 0.5000  4 W 2.92, 4 Ba 3.00
W1 0.0000 0.0000 0.0000  4 Ba 2.92, 4 W 3.00
W2 0.5000 0.5000 0.0000  4 Si 2.92, 4 W 3.00
Ba1 0.5000 0.0000 0.5000  4 W 2.92, 4 Si 3.00

Record 5
Below is a relaxed structure of LaMgNb2Ag, with properties calculated at the PBE level.

## Properties
space group: P4/mmm
total DFT energy (no corrections): -21.64 eV/cell
formation energy from the elements: 7.87 eV/f.u.

Unit cell a=4.9831 b=5.5001 c=4.9831 alpha=90.00 beta=90.00 gamma=90.00
With the nearest neighbours (Å) after each atom.
Atoms (fractional coordinates):
Mg1 0.5000 0.5000 0.5000  4 Ag 3.52, 8 Nb 3.71
Ag1 0.0000 0.5000 0.0000  2 La 2.75
Nb1 0.0000 0.0000 0.5000  2 La 2.49
Nb2 0.5000 0.0000 0.0000  2 La 2.49
La1 0.0000 0.0000 0.0000  4 Nb 2.49, 2 Ag 2.75

Computed values of total moment (unit: Bohr magnetons per cell) for the preceding records, in sequence: 4.0, 0.0, 0.0, 0.0, 0.0.